# LaVOF2 PBE+U optimized geometry
# Total DFT energy (no corrections)   -6.09 eV/atom
# Magnetization   0.4 μB per formula unit
# Symmetry   No. 123
data_LaVOF2
_space_group_name_H-M_alt 'P 1'
_space_group_IT_number 1
_cell_length_a 4.724
_cell_length_b 4.724
_cell_length_c 4.595
_cell_angle_alpha 90.00
_cell_angle_beta 90.00
_cell_angle_gamma 90.00
loop_
_space_group_symop_operation_xyz
'x,y,z'
loop_
_atom_site_label
_atom_site_type_symbol
_atom_site_fract_x
_atom_site_fract_y
_atom_site_fract_z
O1 O 0.000 0.000 0.500
La1 La 0.000 0.000 0.000
V1 V 0.500 0.500 0.500
F1 F 0.500 0.000 0.000
F2 F 0.000 0.500 0.000